Computed, not measured: an optimized crystal structure of Mn2ZnRh at the GGA-PBE level of DFT.

Lattice parameters (Å, degrees): 6.0949 6.1580 2.9992 90.00 90.00 90.00
Atoms (fractional coordinates):
Mn 0.2500 0.2500 0.0000
Mn 0.2500 0.7500 0.0000
Mn 0.7500 0.2500 0.0000
Mn 0.7500 0.7500 0.0000
Zn 0.0000 0.0000 0.5000
Zn 0.5000 0.5000 0.5000
Rh 0.0000 0.5000 0.5000
Rh 0.5000 0.0000 0.5000

Properties
Symmetry: Cmmm (65)
D(E_F), states/eV per cell: 5.7
Energy relative to the elements, eV per atom: -0.060
DFT total energy, eV per cell: -54.41
Calculated volume, A^3/atom: 14.1